Entry 1:
Entry from OQMD via LeMat-Bulk: an optimized crystal structure of AlAsOs (GGA-PBE).

Properties
Space group: F-43m
E above lowest polymorph (eV/atom): 0.000

abc: 4.1613 4.1613 4.1613
angles: 60.00 60.00 60.00
With the nearest neighbours (Å) after each atom.
Positions (direct):
Al  0.0000  0.0000  0.0000  4 As 2.55, 4 Os 2.55
As  0.7500  0.7500  0.7500  4 Al 2.55
Os  0.2500  0.2500  0.2500  4 Al 2.55

***

Entry 2:
Entry from OQMD via LeMat-Bulk: an optimized crystal structure of TaGa2Au2 (GGA-PBE).

Properties
Space group: I4/mmm
Raw total energy (eV per atom): -4.694

abc: 6.3924 6.3924 6.3924
angles: 144.30 144.30 51.38
With the nearest neighbours (Å) after each atom.
Positions (direct):
Ta  0.0000  0.0000  0.0000  8 Ga 3.00
Ga  0.3996  0.3996  0.0000  1 Ga 2.31
Ga  0.6004  0.6004  0.0000  1 Ga 2.31
Au  0.2500  0.7500  0.5000  4 Ga 2.61, 4 Au 2.77
Au  0.7500  0.2500  0.5000  4 Ga 2.61, 4 Au 2.77

***

Entry 3:
Entry from OQMD via LeMat-Bulk: an optimized crystal structure of TmAlFe (GGA-PBE).

Properties
Space group: Pnma
Raw total energy (eV per atom): -5.771

abc: 6.7494 3.8786 7.9347
angles: 90.00 90.00 90.00
With the nearest neighbours (Å) after each atom.
Positions (direct):
Tm  0.0306  0.2500  0.1745  5 Fe 2.79-2.96, 5 Al 3.09-3.12
Tm  0.4694  0.7500  0.6745  5 Fe 2.79-2.96, 5 Al 3.09-3.12
Tm  0.5306  0.2500  0.3255  5 Fe 2.79-2.96, 5 Al 3.09-3.12
Tm  0.9694  0.7500  0.8255  5 Fe 2.79-2.96, 5 Al 3.09-3.12
Al  0.1381  0.2500  0.5531  4 Fe 2.54-2.61, 2 Al 2.82
Al  0.3619  0.7500  0.0531  4 Fe 2.54-2.61, 2 Al 2.82
Al  0.6381  0.2500  0.9469  4 Fe 2.54-2.61, 2 Al 2.82
Al  0.8619  0.7500  0.4469  4 Fe 2.54-2.61, 2 Al 2.82
Fe  0.2291  0.7500  0.3621  4 Al 2.54-2.61, 4 Tm 2.79-2.83
Fe  0.2709  0.2500  0.8621  4 Al 2.54-2.61, 4 Tm 2.79-2.83
Fe  0.7291  0.7500  0.1379  4 Al 2.54-2.61, 4 Tm 2.79-2.83
Fe  0.7709  0.2500  0.6379  4 Al 2.54-2.61, 4 Tm 2.79-2.83

***

Entry 4:
Entry from OQMD via LeMat-Bulk: an optimized crystal structure of GdTeNO (GGA-PBE).

Properties
Space group: P4/nmm
E above lowest polymorph (eV/atom): 0.669

abc: 5.0535 5.0535 4.8690
angles: 90.00 90.00 90.00
With the nearest neighbours (Å) after each atom.
Positions (direct):
Gd  0.2500  0.7500  0.0000  2 O 2.43, 4 N 2.57
Gd  0.7500  0.2500  0.0000  2 O 2.43, 4 N 2.57
Te  0.2500  0.2500  0.4818  1 N 2.05
Te  0.7500  0.7500  0.5182  1 N 2.05
N  0.2500  0.2500  0.9036  1 Te 2.05
N  0.7500  0.7500  0.0964  1 Te 2.05
O  0.2500  0.7500  0.5000  2 Gd 2.43, 4 Te 2.53
O  0.7500  0.2500  0.5000  2 Gd 2.43, 4 Te 2.53

***

Repeat the fourth record exactly.
Entry from OQMD via LeMat-Bulk: an optimized crystal structure of GdTeNO (GGA-PBE).

Properties
Space group: P4/nmm
E above lowest polymorph (eV/atom): 0.669

abc: 5.0535 5.0535 4.8690
angles: 90.00 90.00 90.00
With the nearest neighbours (Å) after each atom.
Positions (direct):
Gd  0.2500  0.7500  0.0000  2 O 2.43, 4 N 2.57
Gd  0.7500  0.2500  0.0000  2 O 2.43, 4 N 2.57
Te  0.2500  0.2500  0.4818  1 N 2.05
Te  0.7500  0.7500  0.5182  1 N 2.05
N  0.2500  0.2500  0.9036  1 Te 2.05
N  0.7500  0.7500  0.0964  1 Te 2.05
O  0.2500  0.7500  0.5000  2 Gd 2.43, 4 Te 2.53
O  0.7500  0.2500  0.5000  2 Gd 2.43, 4 Te 2.53

***

Q: Number 3 is which compound?
A: TmAlFe